Material: DyZnCuIr
Method: DFT, PBE-GGA
State: relaxed

Cell: 4.5996 4.5996 4.5996 Å, 60.00 60.00 60.00°
With the nearest neighbours (Å) after each atom.
Sites, in units of the cell vectors:
Zn1 0.2500 0.2500 0.2500  4 Ir 2.82, 4 Cu 2.82
Cu1 0.5000 0.5000 0.5000  4 Dy 2.82, 4 Zn 2.82
Ir1 0.0000 0.0000 0.0000  4 Zn 2.82, 4 Dy 2.82
Dy1 0.7500 0.7500 0.7500  4 Cu 2.82, 4 Ir 2.82

Computed properties:
Electronic total energy in eV/cell: -20.14
D(E_F) in states/eV/atom: 0.33
SG: No. 216